1.
{"formula": "KCa2GaCo", "functional": "PBE", "state": "optimized geometry", "sg": "P4/mmm", "magmom_total_mub_per_atom": 0.00, "delta_e_f_mev_per_atom": 39, "lattice_angstrom": [[5.4725, 0.0000, 0.0000], [0.0000, 5.4725, 0.0000], [0.0000, 0.0000, 4.8179]], "species": ["Ca", "Ca", "Co", "K", "Ga"], "frac_coords": [[0.0000, 0.5000, 0.0000], [0.5000, 0.0000, 0.0000], [0.0000, 0.0000, 0.0000], [0.5000, 0.5000, 0.5000], [0.0000, 0.0000, 0.5000]]}

***

2.
{"formula": "Sm5Tl2Ag", "functional": "PBE", "state": "optimized geometry", "sg": "I4mm", "magmom_total_mub_per_atom": 0.00, "delta_e_f_mev_per_atom": -200, "lattice_angstrom": [[7.1067, 0.0005, -0.0008], [0.0007, 7.1066, -0.0007], [-3.5537, -3.5538, 4.5206]], "species": ["Sm", "Sm", "Sm", "Sm", "Sm", "Tl", "Tl", "Ag"], "frac_coords": [[0.7221, 0.2223, 0.9444], [0.2222, 0.2222, 0.9443], [0.7221, 0.7221, 0.9444], [0.2222, 0.7221, 0.9443], [0.7223, 0.7223, 0.4447], [0.2221, 0.7221, 0.4443], [0.7221, 0.2221, 0.4443], [0.2218, 0.2217, 0.4433]]}

***

3.
{"formula": "Ce8Pu3Tl2", "functional": "PBE", "state": "optimized geometry", "sg": "C2/m", "magmom_total_mub_per_atom": 0.97, "delta_e_f_mev_per_atom": 26, "lattice_angstrom": [[6.6772, 0.0000, 0.0000], [-3.3386, 6.7062, -2.9519], [0.0000, -0.1906, 8.4345]], "species": ["Ce", "Ce", "Ce", "Ce", "Ce", "Ce", "Ce", "Ce", "Pu", "Pu", "Pu", "Tl", "Tl"], "frac_coords": [[0.3744, 0.7488, 0.0216], [0.6256, 0.2512, 0.9784], [0.8637, 0.7274, 0.2051], [0.1363, 0.2726, 0.7949], [0.8432, 0.1839, 0.4098], [0.3407, 0.1839, 0.4098], [0.6593, 0.8161, 0.5902], [0.1568, 0.8161, 0.5902], [0.0000, 0.0000, 0.5000], [0.2313, 0.0000, 0.0000], [0.7687, 0.0000, 0.0000], [0.7714, 0.5429, 0.7708], [0.2286, 0.4571, 0.2292]]}

***

4.
{"formula": "MgAlV2Tc", "functional": "PBE", "state": "optimized geometry", "sg": "P4/mmm", "magmom_total_mub_per_atom": 0.00, "delta_e_f_mev_per_atom": 966, "lattice_angstrom": [[4.5000, 0.0000, 0.0000], [0.0000, 4.9458, 0.0000], [0.0000, 0.0000, 4.5000]], "species": ["Mg", "Al", "Tc", "V", "V"], "frac_coords": [[0.0000, 0.5000, 0.0000], [0.5000, 0.5000, 0.5000], [0.0000, 0.0000, 0.0000], [0.0000, 0.0000, 0.5000], [0.5000, 0.0000, 0.0000]]}

***

5.
{"formula": "Ti2TcB6", "functional": "PBE", "state": "optimized geometry", "sg": "P6/mmm", "magmom_total_mub_per_atom": 0.07, "delta_e_f_mev_per_atom": -748, "lattice_angstrom": [[3.2384, 0.0000, 0.0000], [0.0000, 4.5449, -2.6240], [0.0000, 0.0000, 5.2480]], "species": ["Ti", "Ti", "Tc", "B", "B", "B", "B", "B", "B"], "frac_coords": [[0.0000, 0.3333, 0.6667], [0.0000, 0.6667, 0.3333], [0.0000, 0.0000, 0.0000], [0.5000, 0.3344, 0.3344], [0.5000, 0.6656, 0.6656], [0.5000, 0.0000, 0.6656], [0.5000, 0.6656, 0.0000], [0.5000, 0.3344, 0.0000], [0.5000, 0.0000, 0.3344]]}

***

6.
{"formula": "ZrNiRh3", "functional": "PBE", "state": "optimized geometry", "sg": "Pm-3m", "magmom_total_mub_per_atom": 0.35, "delta_e_f_mev_per_atom": 461, "lattice_angstrom": [[4.4505, 0.0000, 0.0000], [0.0000, 4.4505, 0.0000], [0.0000, 0.0000, 4.4505]], "species": ["Ni", "Rh", "Rh", "Rh", "Zr"], "frac_coords": [[0.0000, 0.0000, 0.0000], [0.0000, 0.5000, 0.0000], [0.0000, 0.0000, 0.5000], [0.5000, 0.0000, 0.0000], [0.5000, 0.5000, 0.5000]]}

***

7.
{"formula": "PrDy5Sc", "functional": "PBE", "state": "optimized geometry", "sg": "P2_1/m", "magmom_total_mub_per_atom": 0.00, "delta_e_f_mev_per_atom": 68, "lattice_angstrom": [[-0.6399, -0.3712, 3.4915], [4.6503, -7.9843, 0.0036], [9.7446, 9.2913, 2.7738]], "species": ["Pr", "Pr", "Dy", "Dy", "Dy", "Dy", "Dy", "Dy", "Dy", "Dy", "Dy", "Dy", "Sc", "Sc"], "frac_coords": [[0.7500, 0.1108, 0.1341], [0.2500, 0.8892, 0.8659], [0.2500, 0.0084, 0.3748], [0.7500, 0.2042, 0.8821], [0.7500, 0.3318, 0.5069], [0.2500, 0.4183, 0.0827], [0.2500, 0.3490, 0.7200], [0.7500, 0.6510, 0.2800], [0.7500, 0.5817, 0.9173], [0.2500, 0.6682, 0.4931], [0.2500, 0.7958, 0.1179], [0.7500, 0.9916, 0.6252], [0.2500, 0.3518, 0.3078], [0.7500, 0.6482, 0.6922]]}

***

8.
{"formula": "Sm4NpSe5", "functional": "PBE", "state": "optimized geometry", "sg": "I4/mmm", "e_form_raw_ev_per_atom": -1.671, "magmom_total_mub_per_atom": 0.45, "lattice_angstrom": [[-2.3308, -2.8220, -1.9707], [2.2713, 0.5272, -3.4414], [9.1878, -9.4987, 7.1194]], "species": ["Sm", "Sm", "Sm", "Sm", "Np", "Se", "Se", "Se", "Se", "Se"], "frac_coords": [[0.3997, 0.3997, 0.7994], [0.8025, 0.8025, 0.6050], [0.1975, 0.1975, 0.3950], [0.6003, 0.6003, 0.2006], [0.0000, 0.0000, 0.0000], [0.0985, 0.0985, 0.1971], [0.5000, 0.5000, 0.0000], [0.9015, 0.9015, 0.8029], [0.2988, 0.2988, 0.5977], [0.7012, 0.7012, 0.4023]]}

***

9.
{"formula": "GdCdGa", "functional": "PBE", "state": "optimized geometry", "sg": "I4mm", "magmom_total_mub_per_atom": 2.50, "delta_e_f_mev_per_atom": -310, "lattice_angstrom": [[-1.7698, 1.2004, 2.6122], [-0.9011, -3.1446, 0.8345], [6.2668, 0.5028, 1.8333]], "species": ["Gd", "Ga", "Cd"], "frac_coords": [[0.6264, 0.6264, 0.2527], [0.2880, 0.2880, 0.5760], [0.9356, 0.9356, 0.8712]]}

***

10.
{"formula": "Tb6YHoEr2", "functional": "PBE", "state": "optimized geometry", "sg": "C2/c", "magmom_total_mub_per_atom": 0.00, "delta_e_f_mev_per_atom": 117, "lattice_angstrom": [[9.0732, -2.0117, -2.0877], [0.8142, 8.5046, -2.0279], [0.8142, -2.3417, 8.4236]], "species": ["Tb", "Tb", "Tb", "Tb", "Tb", "Tb", "Tb", "Tb", "Tb", "Tb", "Tb", "Tb", "Y", "Y", "Ho", "Ho", "Er", "Er", "Er", "Er"], "frac_coords": [[0.0552, 0.1244, 0.7532], [0.4448, 0.2468, 0.8756], [0.9448, 0.8756, 0.2468], [0.5552, 0.7532, 0.1244], [0.3149, 0.9817, 0.4318], [0.1851, 0.5682, 0.0183], [0.6851, 0.0183, 0.5682], [0.8149, 0.4318, 0.9817], [0.1199, 0.7102, 0.4968], [0.3801, 0.5032, 0.2898], [0.8801, 0.2898, 0.5032], [0.6199, 0.4968, 0.7102], [0.2500, 0.9763, 0.0237], [0.7500, 0.0237, 0.9763], [0.2500, 0.4094, 0.5906], [0.7500, 0.5906, 0.4094], [0.4559, 0.8024, 0.6953], [0.0441, 0.3047, 0.1976], [0.5441, 0.1976, 0.3047], [0.9559, 0.6953, 0.8024]]}

***

11.
{"formula": "Ca2TlCo", "functional": "PBE", "state": "optimized geometry", "sg": "R-3m", "magmom_total_mub_per_atom": 0.30, "delta_e_f_mev_per_atom": 190, "lattice_angstrom": [[-8.3343, -4.0751, 0.5389], [-6.9204, -4.8303, 3.8903], [-8.5614, -1.5574, 3.2611]], "species": ["Tl", "Co", "Ca", "Ca"], "frac_coords": [[0.7500, 0.7500, 0.7500], [0.2500, 0.2500, 0.2500], [0.9856, 0.9856, 0.9856], [0.5144, 0.5144, 0.5144]]}

***

12.
{"formula": "Hf2Be2Fe5Co", "functional": "PBE", "state": "optimized geometry", "sg": "P4/mbm", "magmom_total_mub_per_atom": 0.96, "delta_e_f_mev_per_atom": -187, "lattice_angstrom": [[3.2871, 0.0000, 0.0000], [0.0000, 8.6464, 0.0000], [0.0000, 0.0000, 8.6464]], "species": ["Hf", "Hf", "Hf", "Hf", "Be", "Be", "Be", "Be", "Fe", "Fe", "Fe", "Fe", "Fe", "Fe", "Fe", "Fe", "Fe", "Fe", "Co", "Co"], "frac_coords": [[0.0000, 0.6759, 0.1759], [0.0000, 0.3241, 0.8241], [0.0000, 0.1759, 0.3241], [0.0000, 0.8241, 0.6759], [0.0000, 0.1193, 0.6193], [0.0000, 0.8807, 0.3807], [0.0000, 0.6193, 0.8807], [0.0000, 0.3807, 0.1193], [0.5000, 0.2068, 0.0635], [0.5000, 0.7932, 0.9365], [0.5000, 0.0635, 0.7932], [0.5000, 0.7068, 0.4365], [0.5000, 0.9365, 0.2068], [0.5000, 0.2932, 0.5635], [0.5000, 0.5635, 0.7068], [0.5000, 0.4365, 0.2932], [0.5000, 0.5000, 0.0000], [0.5000, 0.0000, 0.5000], [0.0000, 0.0000, 0.0000], [0.0000, 0.5000, 0.5000]]}

***

no.,electronic total energy (eV/atom),density of states at the Fermi level (states/eV/f.u.)
1,-3.01,2.29
2,-4.10,10.71
3,-7.30,25.34
4,-5.82,7.02
5,-8.11,3.94
6,-6.82,10.08
7,-4.81,11.42
8,-6.60,11.33
9,-6.32,1.55
10,-4.68,13.97
11,-3.18,3.30
12,-7.86,7.73